A geometry-optimized VCuTeN2 structure. Source: Alexandria, functional GGA-PBE.

Cell: 3.740 3.740 5.755 Å, 90.00 90.00 90.00°
Space group P4/mmm (No. 123)
Unique sites:
V1 0.000 0.000 0.000 (multiplicity 1)
Cu1 0.500 0.500 0.500 (multiplicity 1)
Te1 0.000 0.000 0.500 (multiplicity 1)
N1 0.000 0.500 0.000 (multiplicity 2)

Calculated total energy (eV/cell): -30.97
Total magnetization (μB/atom): 0.089
Energy above the most stable polymorph in this dataset (meV per atom): 0



A geometry-optimized CuTeWN2 structure. Source: Alexandria, functional GGA-PBE.

Cell: 3.896 3.896 5.271 Å, 90.00 90.00 90.00°
Space group P4/mmm (No. 123)
Unique sites:
Cu1 0.000 0.000 0.000 (multiplicity 1)
Te1 0.000 0.000 0.500 (multiplicity 1)
W1 0.500 0.500 0.500 (multiplicity 1)
N1 0.000 0.500 0.000 (multiplicity 2)

Calculated total energy (eV/cell): -26.72
Total magnetization (μB/atom): 0.024
Energy above the most stable polymorph in this dataset (meV per atom): 1583



A geometry-optimized CuTe2WN structure. Source: Alexandria, functional GGA-PBE.

Cell: 5.254 5.254 3.489 Å, 90.00 90.00 90.00°
Space group P4/mmm (No. 123)
Unique sites:
Cu1 0.000 0.000 0.000 (multiplicity 1)
Te1 0.000 0.500 0.000 (multiplicity 2)
W1 0.500 0.500 0.500 (multiplicity 1)
N1 0.000 0.000 0.500 (multiplicity 1)

Calculated total energy (eV/cell): -25.09
Total magnetization (μB/atom): 0.259
Energy above the most stable polymorph in this dataset (meV per atom): 785